Run one
Crystalline K2ReW at its relaxed geometry. Source: the Alexandria database, functional PBE-GGA.

abc: 6.553 6.553 2.598
angles: 90.00 90.00 90.00
Site moments in Bohr magnetons follow the coordinates.
Atoms (fractional coordinates):
K 0.500 0.500 0.000  0.02
K 0.000 0.000 0.000  0.02
W 0.000 0.500 0.500  1.20
Re 0.500 0.000 0.500  1.43

Results
Symmetry: P4/mmm

Run two
Crystalline K2ReW at its relaxed geometry. Source: the Alexandria database, functional PBE-GGA.

abc: 5.090 6.728 2.734
angles: 80.96 83.01 110.71
Atoms (fractional coordinates):
K 0.000 0.000 0.000
K 0.500 0.000 0.500
W 0.500 0.500 0.000
Re 0.000 0.500 0.500

Results
Symmetry: C2/m

Run three
Crystalline K2ReW at its relaxed geometry. Source: the Alexandria database, functional PBE-GGA.

abc: 6.598 6.598 6.598
angles: 146.56 146.56 48.01
Atoms (fractional coordinates):
K 0.500 0.500 0.000
K 0.000 0.000 0.000
Re 0.250 0.750 0.500
W 0.750 0.250 0.500

Results
Symmetry: I4/mmm

Run four
Crystalline K2ReW at its relaxed geometry. Source: the Alexandria database, functional PBE-GGA.

abc: 2.734 2.734 12.282
angles: 90.00 90.00 112.07
Atoms (fractional coordinates):
K 0.000 0.000 0.492
K 0.000 0.000 0.008
W 0.500 0.500 0.750
Re 0.500 0.500 0.250

Results
Symmetry: Cmmm

Going by the computed energies, the most stable comes first: run two, run four, run three, run one.

Run one
Crystalline KY3Re at its relaxed geometry. Source: the Alexandria database, functional PBE-GGA.

abc: 5.105 5.105 5.105
angles: 90.00 90.00 90.00
Site moments in Bohr magnetons follow the coordinates.
Atoms (fractional coordinates):
Y 0.000 0.500 0.000  0.00
Y 0.500 0.000 0.000  -0.08
Y 0.000 0.000 0.500  -0.03
Re 0.500 0.500 0.500  1.89
K 0.000 0.000 0.000  0.01

Results
Symmetry: Pm-3m

Run two
Crystalline KY3Re at its relaxed geometry. Source: the Alexandria database, functional PBE-GGA.

abc: 5.583 5.583 5.583
angles: 90.00 90.00 90.00
Atoms (fractional coordinates):
Re 0.000 0.000 0.000
Y 0.500 0.000 0.000
Y 0.000 0.500 0.000
Y 0.000 0.000 0.500
K 0.500 0.500 0.500

Results
Symmetry: Pm-3m

Going by the computed energies, the most stable comes first: run two, run one.

Run one
Crystalline KY2Re at its relaxed geometry. Source: the Alexandria database, functional PBE-GGA.

abc: 8.298 8.298 8.293
angles: 59.98 59.98 90.00
Atoms (fractional coordinates):
Y 0.375 0.124 0.750
Y 0.875 0.126 0.750
Y 0.876 0.125 0.250
Y 0.874 0.625 0.250
K 0.250 0.750 0.500
K 0.500 0.500 0.000
Re 0.750 0.250 0.500
Re 0.000 0.000 0.000

Results
Symmetry: I-42d

Run two
Crystalline KY2Re at its relaxed geometry. Source: the Alexandria database, functional PBE-GGA.

abc: 11.380 11.380 11.380
angles: 18.70 18.70 18.70
Site moments in Bohr magnetons follow the coordinates.
Atoms (fractional coordinates):
Y 0.473 0.473 0.473  0.00
Y 0.027 0.027 0.027  0.00
K 0.250 0.250 0.250  0.00
Re 0.750 0.750 0.750  0.09

Results
Symmetry: R-3m

Run three
Crystalline KY2Re at its relaxed geometry. Source: the Alexandria database, functional PBE-GGA.

abc: 5.931 5.931 5.931
angles: 134.61 134.61 66.13
Atoms (fractional coordinates):
Y 0.000 0.000 0.000
Y 0.250 0.750 0.500
Re 0.750 0.250 0.500
K 0.500 0.500 0.000

Results
Symmetry: I-4m2

Going by the computed energies, the most stable comes first: run two, run one, run three.

Run one
Crystalline KY2Re at its relaxed geometry. Source: the Alexandria database, functional PBE-GGA.

abc: 5.986 5.986 3.177
angles: 78.35 78.35 107.63
Atoms (fractional coordinates):
K 0.500 0.000 0.500
Re 0.000 0.500 0.500
Y 0.500 0.500 0.000
Y 0.000 0.000 0.000

Results
Symmetry: C2/m

Run two
Crystalline KY2Re at its relaxed geometry. Source: the Alexandria database, functional PBE-GGA.

abc: 5.079 5.079 3.971
angles: 90.00 90.00 90.02
Atoms (fractional coordinates):
K 0.500 0.000 0.500
Y 0.000 0.000 0.000
Y 0.500 0.500 0.000
Re 0.000 0.500 0.500

Results
Symmetry: P4/mmm

Run three
Crystalline KY2Re at its relaxed geometry. Source: the Alexandria database, functional PBE-GGA.

abc: 5.261 5.261 5.261
angles: 60.00 60.00 60.00
Atoms (fractional coordinates):
Y 0.000 0.000 0.000
Y 0.250 0.250 0.250
Re 0.750 0.750 0.750
K 0.500 0.500 0.500

Results
Symmetry: F-43m

Going by the computed energies, the most stable comes first: run two, run one, run three.